CsK2Al after structural relaxation. Source: Alexandria, functional PBE.

Cell: 7.5871 7.8220 9.7995 Å, 73.27 80.72 64.20°
Positions (direct):
K1 0.4657 0.1671 0.6759
K2 0.3071 0.1596 0.1529
K3 0.6625 0.5256 0.9781
Cs1 0.8125 0.5608 0.4405
K4 0.0071 0.8746 0.0646
Al1 0.6929 0.1725 0.3167
Cs2 0.1342 0.8439 0.5706
Al2 0.3845 0.4824 0.3132

Values from the calculation:
Its energy of formation is 0.176 eV/atom. For the density of states at the Fermi level, the calculation gives 6.47 states/eV/cell. The energy above the most stable polymorph in this dataset is 0 meV/atom.

SmZnGa2Ni after structural relaxation. Source: Alexandria, functional PBE.

Cell: 4.1761 4.1761 5.9284 Å, 110.62 110.62 90.00°
Positions (direct):
Sm1 0.0000 0.0000 0.0000
Ga1 0.6222 0.6222 0.2444
Zn1 0.7500 0.2500 0.5000
Ni1 0.2500 0.7500 0.5000
Ga2 0.3778 0.3778 0.7556

Values from the calculation:
Its energy of formation is -0.489 eV/atom. For the density of states at the Fermi level, the calculation gives 3.04 states/eV/cell.

Nd2Be3Cu12Au after structural relaxation. Source: Alexandria, functional PBE.

Cell: 7.5760 7.5760 7.5760 Å, 59.03 59.03 59.03°
Positions (direct):
Cu1 0.3384 0.3384 0.8943
Be1 0.0000 0.5000 0.0000
Cu2 0.8722 0.8722 0.4124
Cu3 0.1278 0.1278 0.5876
Au1 0.0000 0.0000 0.0000
Cu4 0.1278 0.5876 0.1278
Cu5 0.6616 0.6616 0.1057
Cu6 0.5876 0.1278 0.1278
Cu7 0.6616 0.1057 0.6616
Be2 0.0000 0.0000 0.5000
Nd1 0.6060 0.6060 0.6060
Cu8 0.8943 0.3384 0.3384
Cu9 0.4124 0.8722 0.8722
Be3 0.5000 0.0000 0.0000
Cu10 0.1057 0.6616 0.6616
Nd2 0.3940 0.3940 0.3940
Cu11 0.8722 0.4124 0.8722
Cu12 0.3384 0.8943 0.3384

Values from the calculation:
Its energy of formation is 0.314 eV/atom. For the density of states at the Fermi level, the calculation gives 8.46 states/eV/cell.

TlPdN after structural relaxation. Source: Alexandria, functional PBE.

Cell: 3.1774 3.7893 9.6060 Å, 90.29 89.98 90.00°
Positions (direct):
Tl1 0.2494 0.2461 0.6489
N1 0.2502 0.7482 0.8049
Pd1 0.7501 0.7492 0.9284
N2 0.7498 0.2518 0.1951
Pd2 0.2499 0.2508 0.0716
Tl2 0.7506 0.7539 0.3511

Values from the calculation:
For the density of states at the Fermi level, the calculation gives 4.96 states/eV/cell. The energy above the most stable polymorph in this dataset is 669 meV/atom. Its uncorrected formation energy is 700 meV/atom.

VMo4Ir5 after structural relaxation. Source: Alexandria, functional PBE.

Cell: 2.7594 2.7594 19.4804 Å, 90.00 90.00 90.00°
Positions (direct):
Ir1 0.5000 0.5000 0.7024
Ir2 0.5000 0.5000 0.2976
Ir3 0.5000 0.5000 0.5000
Mo1 0.0000 0.0000 0.3989
Mo2 0.0000 0.0000 0.8041
V1 0.0000 0.0000 0.0000
Ir4 0.5000 0.5000 0.0950
Ir5 0.5000 0.5000 0.9050
Mo3 0.0000 0.0000 0.6011
Mo4 0.0000 0.0000 0.1959

Values from the calculation:
Its energy of formation is -0.330 eV/atom. For the density of states at the Fermi level, the calculation gives 9.66 states/eV/cell.

AcMg2Zn2Ni after structural relaxation. Source: Alexandria, functional PBE.

Cell: 4.1679 4.1679 8.9407 Å, 103.48 103.48 90.00°
Positions (direct):
Zn1 0.1374 0.1374 0.2749
Zn2 0.8626 0.8626 0.7251
Ac1 0.5000 0.5000 0.0000
Mg1 0.7500 0.2500 0.5000
Ni1 0.0000 0.0000 0.0000
Mg2 0.2500 0.7500 0.5000

Values from the calculation:
Its energy of formation is -0.024 eV/atom. For the density of states at the Fermi level, the calculation gives 3.68 states/eV/cell.

ZrVReSi2 after structural relaxation. Source: Alexandria, functional PBE.

Cell: 4.6157 5.1424 4.6157 Å, 90.00 90.00 90.00°
Positions (direct):
Zr1 0.0000 0.5000 0.0000
V1 0.5000 0.5000 0.5000
Si1 0.0000 0.0000 0.5000
Si2 0.5000 0.0000 0.0000
Re1 0.0000 0.0000 0.0000

Values from the calculation:
For the density of states at the Fermi level, the calculation gives 6.82 states/eV/cell. Its uncorrected formation energy is 803 meV/atom.

ScBPdI2 after structural relaxation. Source: Alexandria, functional PBE.

Cell: 5.6300 4.5612 5.6300 Å, 90.00 90.00 90.00°
Positions (direct):
Pd1 0.5000 0.5000 0.5000
I1 0.0000 0.0000 0.5000
I2 0.5000 0.0000 0.0000
Sc1 0.0000 0.0000 0.0000
B1 0.0000 0.5000 0.0000

Values from the calculation:
For the density of states at the Fermi level, the calculation gives 3.27 states/eV/cell. Its uncorrected formation energy is 650 meV/atom.